[1]
Entry from Alexandria via LeMat-Bulk: a relaxed VBS3 crystal (PBE).

Results
Uncorrected formation energy: 543 meV/atom
SG: Pm-3m (221)
Polymorph energy (0 for the lowest one): 5.71 eV per formula unit
Crystal system: cubic

Lattice parameters (Å, degrees): 4.1508 4.1508 4.1508 90.00 90.00 90.00
With the nearest neighbours (Å) after each atom.
Element x y z (fractional)
V: 0.0000 0.0000 0.0000  12 S 2.94
B: 0.5000 0.5000 0.5000  6 S 2.08
S: 0.0000 0.5000 0.5000  2 B 2.08
S: 0.5000 0.0000 0.5000  2 B 2.08
S: 0.5000 0.5000 0.0000  2 B 2.08

---

[2]
Entry from Alexandria via LeMat-Bulk: a relaxed VB3S crystal (PBE).

Results
Uncorrected formation energy: 1845 meV/atom
SG: Pm-3m (221)
Polymorph energy (0 for the lowest one): 1.01 eV per formula unit
Crystal system: cubic

Lattice parameters (Å, degrees): 4.0901 4.0901 4.0901 90.00 90.00 90.00
With the nearest neighbours (Å) after each atom.
Element x y z (fractional)
V: 0.0000 0.0000 0.0000  6 B 2.05
B: 0.0000 0.0000 0.5000  2 V 2.05
B: 0.0000 0.5000 0.0000  2 V 2.05
B: 0.5000 0.0000 0.0000  2 V 2.05
S: 0.5000 0.5000 0.5000  12 B 2.89

---

[3]
Entry from Alexandria via LeMat-Bulk: a relaxed VBS4 crystal (PBE).

Results
Uncorrected formation energy: -285 meV/atom
SG: P-1 (2)
Crystal system: triclinic

Lattice parameters (Å, degrees): 3.1973 6.2880 7.0894 66.95 77.22 89.99
With the nearest neighbours (Å) after each atom.
Element x y z (fractional)
V: 0.0000 0.0000 0.0000  6 S 2.30-2.52
B: 0.0000 0.5000 0.0000  2 S 1.69
S: 0.1043 0.4321 0.7871  1 B 1.69
S: 0.3858 0.0177 0.2328  2 V 2.30
S: 0.6142 0.9823 0.7672  2 V 2.30
S: 0.8957 0.5679 0.2129  1 B 1.69